VASP calculation (PBE-GGA) on Dy3Cd4 after structural relaxation.

Summary:
The value obtained for the electronic total energy is -0.0961 Ha/atom. As for the space group: No. 166. For the calculated volume, the calculation gives 198.28 Å³/cell. Its theoretical density is 7.85 g/cm3. As for the formation energy: -0.1186 eV/atom. Its density of states at the Fermi level is 8.23 states/eV/cell. The calculation puts the distance to the lowest polymorph of the same formula at 0.176 eV/atom.

Cell and atoms, written as POSCAR:
```
Dy3Cd4
1.0
-2.607 1.023 4.375
2.309 -0.641 4.609
2.631 8.158 2.743
Dy Cd
3 4
Direct
0.249 0.249 0.252
0.751 0.751 0.748
0.000 0.000 0.000
0.620 0.620 0.141
0.874 0.874 0.379
0.126 0.126 0.621
0.380 0.380 0.859
```